The following is a DFT calculation (PBE) of an optimized crystal structure of Ba2Na2LiAu4.

As for the density of states at the Fermi level: 0.448 states/eV per atom. The space group is No. 139. The size of the total moment comes out at 0.00 Bohr magnetons per cell. The calculated formation energy is -0.488 eV/atom.

Cell lengths 6.8765, 6.8765, 6.8765 Å; angles 114.20, 114.20, 100.38 degrees
Positions (direct):
1 Ba 0.2500 0.7500 0.5000
2 Ba 0.7500 0.2500 0.5000
3 Na 0.1746 0.1746 0.0000
4 Na 0.8254 0.8254 0.0000
5 Li 0.5000 0.5000 0.0000
6 Au 0.2569 0.2569 0.5137
7 Au 0.2569 0.7431 0.0000
8 Au 0.7431 0.2569 0.0000
9 Au 0.7431 0.7431 0.4863